1.
Material: BaNi2SnGe
Method: DFT, PBE
State: relaxed

abc: 4.8959 4.8959 5.3543
angles: 90.00 90.00 90.00
Closest atoms and distances in Å follow each position.
Space group P4/mmm (No. 123)
Inequivalent atoms, fractional coordinates:
Ba 0.0000 0.0000 0.0000  4 Ge 3.46, 8 Ni 3.63
Ni 0.0000 0.5000 0.5000  2 Sn 2.45
Sn 0.5000 0.5000 0.5000  4 Ni 2.45, 2 Ge 2.68
Ge 0.5000 0.5000 0.0000  2 Sn 2.68

Summary:
The value obtained for the size of the total moment is 0.000 μB per cell. For the total energy, the calculation gives -4.1428 eV/atom.



2.
Material: BaSrNiGe
Method: DFT, PBE
State: relaxed

abc: 4.2897 4.2897 25.4914
angles: 90.00 90.00 120.00
Closest atoms and distances in Å follow each position.
Space group R3m (No. 160, hexagonal axes)
Inequivalent atoms, fractional coordinates:
Ba 0.0000 0.0000 0.0000  3 Ni 3.31, 3 Ge 3.32
Sr 0.0000 0.0000 0.1658  3 Ge 3.19, 3 Ni 3.20
Ni 0.0000 0.0000 0.7530  3 Ge 2.48
Ge 0.0000 0.0000 0.4200  3 Ni 2.48

Summary:
The value obtained for the size of the total moment is 0.000 μB per cell. For the total energy, the calculation gives -3.8799 eV/atom.



3.
Material: BaTaNiGe2
Method: DFT, PBE
State: relaxed

abc: 5.0159 5.0159 5.9439
angles: 90.00 90.00 90.00
Closest atoms and distances in Å follow each position.
Space group P4/mmm (No. 123)
Inequivalent atoms, fractional coordinates:
Ba 0.0000 0.0000 0.0000  2 Ta 2.97
Ta 0.0000 0.0000 0.5000  4 Ge 2.51
Ni 0.5000 0.5000 0.0000  4 Ba 3.55, 8 Ge 3.89
Ge 0.0000 0.5000 0.5000  2 Ta 2.51

Summary:
The value obtained for the size of the total moment is 0.084 μB per cell. For the total energy, the calculation gives -4.8177 eV/atom.



4.
Material: Ba2TlNiGe
Method: DFT, PBE
State: relaxed

abc: 6.0878 6.0878 4.5192
angles: 90.00 90.00 90.00
Closest atoms and distances in Å follow each position.
Space group P4/mmm (No. 123)
Inequivalent atoms, fractional coordinates:
Ba 0.0000 0.5000 0.0000  2 Ni 3.04
Tl 0.0000 0.0000 0.5000  8 Ba 3.79
Ni 0.5000 0.5000 0.0000  2 Ge 2.26
Ge 0.5000 0.5000 0.5000  2 Ni 2.26

Summary:
The value obtained for the size of the total moment is 0.000 μB per cell. For the total energy, the calculation gives -3.6133 eV/atom.



5.
Material: BaNpGe2
Method: DFT, PBE
State: relaxed

abc: 4.7187 4.7187 19.1827
angles: 90.00 90.00 120.00
Closest atoms and distances in Å follow each position.
Space group R-3m (No. 166, hexagonal axes)
Inequivalent atoms, fractional coordinates:
Ba 0.0000 0.0000 0.0000  6 Ge 3.49
Np 0.0000 0.0000 0.5000  6 Ge 2.91
Ge 0.0000 0.0000 0.2192  3 Np 2.91

Summary:
The value obtained for the size of the total moment is 11.906 μB per cell. For the total energy, the calculation gives -6.0848 eV/atom.



6.
Material: BaNp2GeO8
Method: DFT, PBE
State: relaxed

abc: 5.0836 5.0843 7.1272
angles: 87.21 87.19 84.75
Closest atoms and distances in Å follow each position.
Space group P-1 (No. 2)
Inequivalent atoms, fractional coordinates:
Ba 0.0000 0.0000 0.0000  6 O 2.57-2.60
Np 0.4881 0.4880 0.2676  4 O 2.03-2.13
Ge 0.0000 0.0000 0.5000  4 O 1.88
O 0.1834 0.7970 0.6875  1 Ge 1.88
O 0.2042 0.8176 0.3123  1 Ge 1.88
O 0.3066 0.3076 0.4953  1 Np 2.05
O 0.3412 0.3433 0.9657  1 Np 2.03

Summary:
For the uncorrected formation energy, the calculation gives -29.3 eV/f.u. The value obtained for the size of the total moment is 4.000 μB per cell. For the total energy, the calculation gives -8.4525 eV/atom.



7.
Material: BaNpGe2O8
Method: DFT, PBE
State: relaxed

abc: 5.0835 5.0835 26.6408
angles: 90.00 90.00 120.00
Closest atoms and distances in Å follow each position.
Space group R32 (No. 155, hexagonal axes)
Inequivalent atoms, fractional coordinates:
Ba 0.0000 0.0000 0.0000  6 O 3.01
Np 0.0000 0.0000 0.5000  6 O 2.10
Ge 0.0000 0.0000 0.2437  4 O 1.72-1.79
O 0.0000 0.0000 0.3081  1 Ge 1.72
O 0.0058 0.3668 0.1157  1 Ge 1.79

Summary:
For the uncorrected formation energy, the calculation gives -25.1 eV/f.u. The value obtained for the size of the total moment is 3.000 μB per cell. For the total energy, the calculation gives -7.4030 eV/atom.



8.
Material: Ba2NpGeO6
Method: DFT, PBE
State: relaxed

abc: 8.6381 8.6381 8.6381
angles: 90.00 90.00 90.00
Closest atoms and distances in Å follow each position.
Space group Fm-3m (No. 225)
Inequivalent atoms, fractional coordinates:
Ba 0.2500 0.2500 0.2500  12 O 3.05
Np 0.0000 0.0000 0.0000  6 O 2.09
Ge 0.0000 0.0000 0.5000  6 O 2.23
O 0.0000 0.0000 0.2421  1 Np 2.09, 1 Ge 2.23

Summary:
For the uncorrected formation energy, the calculation gives -25.3 eV/f.u. The value obtained for the size of the total moment is 4.260 μB per cell. For the total energy, the calculation gives -7.6475 eV/atom.



9.
Material: BaNp2GeP4
Method: DFT, PBE
State: relaxed

abc: 4.2294 13.6932 13.3761
angles: 90.00 90.00 90.00
Closest atoms and distances in Å follow each position.
Space group Cmcm (No. 63)
Inequivalent atoms, fractional coordinates:
Ba 0.0000 0.1136 0.2500  6 P 3.24-3.34, 1 Ge 3.62
Np 0.0000 0.3734 0.0530  6 P 2.72-2.86
Ge 0.0000 0.1506 0.7500  4 P 2.36-2.41
P 0.0000 0.0000 0.0000  4 Np 2.83
P 0.0000 0.2556 0.6106  1 Ge 2.36
P 0.0000 0.4341 0.2500  2 Ge 2.41

Summary:
The value obtained for the size of the total moment is 28.595 μB per cell. For the total energy, the calculation gives -7.3979 eV/atom.



10.
Material: Ba2NpGeS6
Method: DFT, PBE
State: relaxed

abc: 10.1261 10.1261 10.1261
angles: 90.00 90.00 90.00
Closest atoms and distances in Å follow each position.
Space group Fm-3m (No. 225)
Inequivalent atoms, fractional coordinates:
Ba 0.2500 0.2500 0.2500  12 S 3.58
Np 0.0000 0.0000 0.0000  6 S 2.53
Ge 0.0000 0.0000 0.5000  6 S 2.53
S 0.0000 0.0000 0.2498  1 Np 2.53, 1 Ge 2.53

Summary:
For the uncorrected formation energy, the calculation gives -12.8 eV/f.u. The value obtained for the size of the total moment is 3.848 μB per cell. For the total energy, the calculation gives -5.8986 eV/atom.



11.
Material: Ba2NpGeS5
Method: DFT, PBE
State: relaxed

abc: 4.4087 17.8376 12.6749
angles: 90.00 90.00 90.00
Closest atoms and distances in Å follow each position.
Space group Cmc2_1 (No. 36)
Inequivalent atoms, fractional coordinates:
Ba 0.0000 0.1172 0.0000  8 S 3.20-3.57
Ba 0.0000 0.1259 0.6426  7 S 3.21-3.48
Np 0.0000 0.2000 0.3372  6 S 2.67-2.88
Ge 0.0000 0.4486 0.7544  4 S 2.30-2.46
S 0.0000 0.0409 0.3266  2 Ge 2.39
S 0.0000 0.2984 0.9739  2 Np 2.80
S 0.0000 0.3175 0.6928  1 Ge 2.46
S 0.0000 0.3496 0.3230  1 Np 2.67
S 0.0000 0.4992 0.0887  1 Ge 2.30

Summary:
For the uncorrected formation energy, the calculation gives -12.6 eV/f.u. The value obtained for the size of the total moment is 15.170 μB per cell. For the total energy, the calculation gives -6.0710 eV/atom.



12.
Material: Ba2NpGeTe5
Method: DFT, PBE
State: relaxed

abc: 4.7960 20.3343 13.7708
angles: 90.00 90.00 90.00
Closest atoms and distances in Å follow each position.
Space group Cmc2_1 (No. 36)
Inequivalent atoms, fractional coordinates:
Ba 0.0000 0.1156 0.0000  8 Te 3.52-3.88
Ba 0.0000 0.1232 0.6315  6 Te 3.52-3.62
Np 0.0000 0.2065 0.3347  6 Te 3.06-3.20
Ge 0.0000 0.4428 0.7603  4 Te 2.73-2.80
Te 0.0000 0.0516 0.3644  2 Ge 2.80
Te 0.0000 0.2917 0.9803  2 Np 3.13
Te 0.0000 0.3155 0.6845  1 Ge 2.79
Te 0.0000 0.3565 0.3178  1 Np 3.06
Te 0.0000 0.4991 0.0819  1 Ge 2.73

Summary:
For the uncorrected formation energy, the calculation gives -8.9 eV/f.u. The value obtained for the size of the total moment is 14.936 μB per cell. For the total energy, the calculation gives -5.1137 eV/atom.